# 1
Compound: MgSc2Cl
Source: Alexandria
Functional: PBE
Structure: optimized geometry

Cell lengths 9.9726, 9.9726, 9.9726 Å; angles 19.77, 19.77, 19.77 degrees
Fractional coordinates of all 4 atoms:
Mg 0.5000 0.5000 0.5000
Cl 0.0000 0.0000 0.0000
Sc 0.0838 0.0838 0.0838
Sc 0.9162 0.9162 0.9162

Excess energy over the best structure of this formula in the dataset (meV per atom): 162
E_form (uncorrected) (eV/atom): -0.447
E (eV for the cell shown): -17.893
SG: No. 166


# 2
Compound: Pu2Be4CuGe3
Source: Alexandria
Functional: PBE
Structure: optimized geometry

Cell lengths 3.9330, 3.9330, 9.7197 Å; angles 90.00, 90.00, 90.00 degrees
Site moments in Bohr magnetons follow the coordinates.
Fractional coordinates of all 10 atoms:
Be 0.5000 0.5000 0.0000  0.00
Be 0.0000 0.0000 0.0000  0.00
Ge 0.5000 0.0000 0.8661  -0.06
Ge 0.0000 0.0000 0.5000  -0.04
Be 0.5000 0.0000 0.6292  -0.01
Be 0.0000 0.5000 0.3708  -0.01
Pu 0.5000 0.0000 0.2490  5.14
Pu 0.0000 0.5000 0.7510  5.14
Ge 0.0000 0.5000 0.1339  -0.06
Cu 0.5000 0.5000 0.5000  0.01

E (eV for the cell shown): -63.966
SG: No. 115
Formation enthalpy at 0 K (eV per formula unit): -2.45


# 3
Compound: AlReTc3
Source: Alexandria
Functional: PBE
Structure: optimized geometry

Cell lengths 4.3385, 4.3385, 4.3385 Å; angles 90.00, 90.00, 90.00 degrees
Fractional coordinates of all 5 atoms:
Al 0.0000 0.0000 0.0000
Tc 0.0000 0.0000 0.5000
Re 0.5000 0.5000 0.5000
Tc 0.0000 0.5000 0.0000
Tc 0.5000 0.0000 0.0000

Excess energy over the best structure of this formula in the dataset (meV per atom): 0
E (eV for the cell shown): -40.093
SG: No. 221
Formation enthalpy at 0 K (eV per formula unit): 7.20


# 4
Compound: Sb4P
Source: Alexandria
Functional: PBE
Structure: optimized geometry

Cell lengths 6.2733, 6.2733, 6.2733 Å; angles 94.44, 94.44, 147.70 degrees
Fractional coordinates of all 5 atoms:
Sb 0.4207 0.2393 0.6600
P 0.0000 0.0000 0.0000
Sb 0.2393 0.5793 0.8186
Sb 0.5793 0.7607 0.3400
Sb 0.7607 0.4207 0.1814

Excess energy over the best structure of this formula in the dataset (meV per atom): 0
E_form (uncorrected) (eV/atom): 0.305
E (eV for the cell shown): -20.376
SG: No. 87


# 5
Compound: ErThMgAu
Source: Alexandria
Functional: PBE
Structure: optimized geometry

Cell lengths 5.2596, 5.2596, 5.2596 Å; angles 60.00, 60.00, 60.00 degrees
Site moments in Bohr magnetons follow the coordinates.
Fractional coordinates of all 4 atoms:
Er 0.2500 0.2500 0.2500  0.21
Mg 0.5000 0.5000 0.5000  0.00
Th 0.7500 0.7500 0.7500  0.18
Au 0.0000 0.0000 0.0000  0.04

E (eV for the cell shown): -17.877
SG: No. 216
Formation enthalpy at 0 K (eV per formula unit): -1.02


# 6
Compound: Tl5Sn2S4
Source: Alexandria
Functional: PBE
Structure: optimized geometry

Cell lengths 6.2452, 7.7555, 9.7396 Å; angles 121.97, 119.89, 76.17 degrees
Fractional coordinates of all 11 atoms:
S 0.2396 0.8983 0.1929
S 0.7604 0.1017 0.8071
S 0.4533 0.5215 0.6778
Tl 0.0855 0.3146 0.2617
Tl 0.5000 0.0000 0.0000
Sn 0.3995 0.3372 0.8059
Tl 0.2391 0.8313 0.4621
Sn 0.6005 0.6628 0.1941
Tl 0.9145 0.6854 0.7383
S 0.5467 0.4785 0.3222
Tl 0.7609 0.1687 0.5379

E_form (uncorrected) (eV/atom): -0.265
E (eV for the cell shown): -39.262
SG: No. 2


# 7
Compound: K3Li2InF9
Source: Alexandria
Functional: PBE
Structure: optimized geometry

Cell lengths 5.8138, 5.8138, 7.3454 Å; angles 90.00, 90.00, 120.00 degrees
Site moments in Bohr magnetons follow the coordinates.
Fractional coordinates of all 15 atoms:
In 0.0000 0.0000 0.5000  0.00
F 0.6641 0.8321 0.3313  0.02
F 0.8321 0.1679 0.6687  0.02
F 0.5000 0.5000 0.0000  0.29
K 0.0000 0.0000 0.0000  0.00
Li 0.6667 0.3333 0.8239  0.00
K 0.6667 0.3333 0.3118  0.00
F 0.8321 0.6641 0.6687  0.02
F 0.0000 0.5000 0.0000  0.29
K 0.3333 0.6667 0.6882  0.00
F 0.5000 0.0000 0.0000  0.29
F 0.1679 0.8321 0.3313  0.02
F 0.1679 0.3359 0.3313  0.02
Li 0.3333 0.6667 0.1761  0.00
F 0.3359 0.1679 0.6687  0.02

E_form (uncorrected) (eV/atom): -2.599
E (eV for the cell shown): -65.678
SG: No. 164


# 8
Compound: CaCoMo2
Source: Alexandria
Functional: PBE
Structure: optimized geometry

Cell lengths 4.0689, 2.8284, 6.3738 Å; angles 77.86, 90.00, 90.00 degrees
Fractional coordinates of all 4 atoms:
Mo 0.0000 0.0185 0.9875
Ca 0.0000 0.5026 0.5137
Co 0.5000 0.7638 0.8132
Mo 0.5000 0.2152 0.1856

Excess energy over the best structure of this formula in the dataset (meV per atom): 85
E (eV for the cell shown): -28.730
SG: No. 6
Formation enthalpy at 0 K (eV per formula unit): 2.04